Computed, not measured: a relaxed NdSm4Cu crystal at the PBE-GGA level of DFT.

```
6
Lattice="3.617 0.000 0.000 0.000 3.617 0.000 0.000 0.000 13.879" Properties=species:S:1:pos:R:3 pbc="T T T"
Nd 0.000 0.000 0.000
Sm 0.000 0.000 5.228
Sm 0.000 0.000 8.652
Sm 1.809 1.809 2.590
Sm 1.809 1.809 11.289
Cu 1.809 1.809 6.940
```

Output
Energy relative to the elements in kJ/mol of atoms: -3
Space group: P4/mmm (123)
Fermi-level density of states in states/eV per cell: 7.975


Computed, not measured: a relaxed PaZn4Os crystal at the PBE-GGA level of DFT.

```
6
Lattice="0.000 3.656 3.656 3.656 0.000 3.656 3.656 3.656 0.000" Properties=species:S:1:pos:R:3 pbc="T T T"
Pa 0.000 0.000 0.000
Zn 4.560 2.752 2.752
Zn 2.752 4.560 2.752
Zn 2.752 2.752 4.560
Zn 4.560 4.560 4.560
Os 1.828 1.828 1.828
```

Output
Energy relative to the elements in kJ/mol of atoms: 0
Space group: F-43m (216)
Fermi-level density of states in states/eV per cell: 5.564


Computed, not measured: a relaxed PaInCo2 crystal at the PBE-GGA level of DFT.

```
4
Lattice="0.000 3.245 3.245 3.245 0.000 3.245 3.245 3.245 0.000" Properties=species:S:1:pos:R:3 pbc="T T T"
Pa 0.000 0.000 0.000
In 3.245 3.245 3.245
Co 1.623 1.623 1.623
Co 4.868 4.868 4.868
```

Output
Energy relative to the elements in kJ/mol of atoms: -14
Space group: Fm-3m (225)
Fermi-level density of states in states/eV per cell: 5.910


Computed, not measured: a relaxed Sb3Rh crystal at the PBE-GGA level of DFT.

```
4
Lattice="-1.663 2.364 6.122 1.663 -2.364 6.122 1.663 2.364 -6.122" Properties=species:S:1:pos:R:3 pbc="T T T"
Sb 0.000 0.000 0.000
Sb 1.663 0.000 3.914
Sb 0.000 2.364 2.208
Rh 0.000 0.000 6.122
```

Output
Space group: Immm (71)
ΔE_f (raw) in eV per atom: -0.0408
Distance to the lowest polymorph of the same formula in meV per atom: 364
Fermi-level density of states in states/eV per cell: 2.727


no.,spin magnetization (μB/cell)
1,0.0
2,1.0
3,0.5
4,0.0